# 1
Entry from Alexandria: a geometry-optimized K3Y structure (PBE).

crystal system	orthorhombic
DFT formation energy	0.39	eV/atom

Geometry as extended XYZ:
```
8
Lattice="-5.7665 6.6020 0.3771 1.4683 -0.8467 8.6087 4.5211 3.9707 -0.3806" Properties=species:S:1:pos:R:3 pbc="T T T"
K -0.1549 7.7258 7.1273
K 0.3778 2.0002 1.4779
K 2.5735 4.6504 7.4530
K -2.3506 5.0756 1.1522
K 1.3849 1.2297 5.4023
K -1.1620 8.4963 3.2029
Y 1.5252 5.4760 3.6147
Y -1.3024 4.2500 4.9905
```

# 2
Entry from Alexandria: a geometry-optimized TbTmGaPb structure (PBE).

crystal system	cubic
DFT formation energy	-0.41	eV/atom

Geometry as extended XYZ:
```
4
Lattice="5.2527 0.0000 0.0000 2.6264 4.5490 0.0000 2.6264 1.5163 4.2888" Properties=species:S:1:pos:R:3 pbc="T T T"
Pb 2.6264 1.5163 1.0722
Tm 0.0000 0.0000 0.0000
Tb 5.2527 3.0327 2.1444
Ga 7.8791 4.5490 3.2166
```

no.,total DFT energy (no corrections) (eV/cell),N(E_F) (states/eV/f.u.)
1,-16.36,4.3
2,-17.48,3.0